1.
DFT (PBE-GGA) results for a geometry-optimized Ca2La2Sc structure.

a = 9.288 Å, b = 9.288 Å, c = 4.134 Å
α = 90.00°, β = 90.00°, γ = 90.00°
Atoms (fractional coordinates):
1 Sc 0.000 0.000 0.000
2 Sc 0.500 0.500 0.000
3 Ca 0.176 0.676 0.500
4 Ca 0.676 0.824 0.500
5 Ca 0.824 0.324 0.500
6 Ca 0.324 0.176 0.500
7 La 0.373 0.873 0.000
8 La 0.873 0.627 0.000
9 La 0.627 0.127 0.000
10 La 0.127 0.373 0.000

## Properties
Theoretical density ... 3.8 g/cm3
ΔE_f ... 339.9 meV/atom
Distance to the lowest polymorph of the same formula ... 0 meV per atom

=====

2.
DFT (PBE-GGA) results for a geometry-optimized CaLa2Sc structure.

a = 3.837 Å, b = 3.837 Å, c = 9.605 Å
α = 90.00°, β = 90.00°, γ = 90.00°
Atoms (fractional coordinates):
1 Sc 0.500 0.500 0.250
2 Ca 0.500 0.500 0.750
3 La 0.000 0.000 0.033
4 La 0.000 0.000 0.467

## Properties
Theoretical density ... 4.3 g/cm3
ΔE_f ... 70.1 meV/atom
Distance to the lowest polymorph of the same formula ... 1 meV per atom

=====

3.
DFT (PBE-GGA) results for a geometry-optimized CaLa6Sc structure.

a = 5.206 Å, b = 5.206 Å, c = 10.454 Å
α = 90.00°, β = 90.00°, γ = 90.00°
Atoms (fractional coordinates):
1 Ca 0.000 0.000 0.000
2 La 0.500 0.500 0.000
3 La 0.500 0.500 0.500
4 La 0.500 0.000 0.261
5 La 0.500 0.000 0.739
6 La 0.000 0.500 0.261
7 La 0.000 0.500 0.739
8 Sc 0.000 0.000 0.500

## Properties
Theoretical density ... 5.4 g/cm3
ΔE_f ... 43.9 meV/atom

=====

4.
DFT (PBE-GGA) results for a geometry-optimized CaLa2Sc structure.

a = 5.800 Å, b = 5.800 Å, c = 5.800 Å
α = 60.00°, β = 60.00°, γ = 60.00°
Atoms (fractional coordinates):
1 Sc 0.500 0.500 0.500
2 Ca 0.000 0.000 0.000
3 La 0.250 0.250 0.250
4 La 0.750 0.750 0.750

## Properties
Theoretical density ... 4.4 g/cm3
ΔE_f ... 119.3 meV/atom
Distance to the lowest polymorph of the same formula ... 50 meV per atom

=====

5.
DFT (PBE-GGA) results for a geometry-optimized CaLa2Sc structure.

a = 5.778 Å, b = 3.538 Å, c = 6.881 Å
α = 78.74°, β = 90.00°, γ = 90.00°
Atoms (fractional coordinates):
1 Sc 0.500 0.250 0.250
2 Ca 0.500 0.750 0.750
3 La 0.000 0.042 0.036
4 La 0.000 0.458 0.464

## Properties
Theoretical density ... 4.4 g/cm3
ΔE_f ... 141.7 meV/atom
Distance to the lowest polymorph of the same formula ... 73 meV per atom

=====

6.
DFT (PBE-GGA) results for a geometry-optimized CaLa2Sc structure.

a = 6.302 Å, b = 6.302 Å, c = 6.302 Å
α = 131.64°, β = 131.64°, γ = 70.80°
Atoms (fractional coordinates):
1 Sc 0.500 0.500 0.000
2 Ca 0.750 0.250 0.500
3 La 0.000 0.000 0.000
4 La 0.250 0.750 0.500

## Properties
Theoretical density ... 4.4 g/cm3
ΔE_f ... 155.6 meV/atom
Distance to the lowest polymorph of the same formula ... 87 meV per atom

=====

7.
DFT (PBE-GGA) results for a geometry-optimized CaLa2Sc2 structure.

a = 9.614 Å, b = 9.614 Å, c = 3.540 Å
α = 90.00°, β = 90.00°, γ = 90.00°
Atoms (fractional coordinates):
1 Sc 0.386 0.886 0.000
2 Sc 0.886 0.614 0.000
3 Sc 0.614 0.114 0.000
4 Sc 0.114 0.386 0.000
5 Ca 0.000 0.000 0.000
6 Ca 0.500 0.500 0.000
7 La 0.179 0.679 0.500
8 La 0.679 0.821 0.500
9 La 0.821 0.321 0.500
10 La 0.321 0.179 0.500

## Properties
Theoretical density ... 4.1 g/cm3
ΔE_f ... 99.1 meV/atom
Distance to the lowest polymorph of the same formula ... 0 meV per atom

=====

8.
DFT (PBE-GGA) results for a geometry-optimized CaLa3Sc structure.

a = 5.820 Å, b = 5.820 Å, c = 5.820 Å
α = 90.00°, β = 90.00°, γ = 90.00°
Atoms (fractional coordinates):
1 Sc 0.500 0.500 0.500
2 Ca 0.000 0.000 0.000
3 La 0.000 0.500 0.000
4 La 0.000 0.000 0.500
5 La 0.500 0.000 0.000

## Properties
Theoretical density ... 4.2 g/cm3
ΔE_f ... 894.3 meV/atom
Distance to the lowest polymorph of the same formula ... 478 meV per atom

=====

9.
DFT (PBE-GGA) results for a geometry-optimized CaLa2Sc structure.

a = 6.886 Å, b = 6.886 Å, c = 6.886 Å
α = 146.51°, β = 129.27°, γ = 62.16°
Atoms (fractional coordinates):
1 Sc 0.500 0.500 0.000
2 Ca 0.268 0.768 0.500
3 La 0.001 0.001 0.000
4 La 0.732 0.232 0.500

## Properties
Theoretical density ... 4.4 g/cm3
ΔE_f ... 131.6 meV/atom
Distance to the lowest polymorph of the same formula ... 63 meV per atom

=====

10.
DFT (PBE-GGA) results for a geometry-optimized CaLa3Sc structure.

a = 5.885 Å, b = 5.885 Å, c = 5.885 Å
α = 90.00°, β = 90.00°, γ = 90.00°
Atoms (fractional coordinates):
1 Sc 0.000 0.000 0.000
2 Ca 0.500 0.500 0.500
3 La 0.000 0.500 0.000
4 La 0.000 0.000 0.500
5 La 0.500 0.000 0.000

## Properties
Theoretical density ... 4.1 g/cm3
ΔE_f ... 416.3 meV/atom
Distance to the lowest polymorph of the same formula ... 0 meV per atom

=====

11.
DFT (PBE-GGA) results for a geometry-optimized CaLa2Sc structure.

a = 6.254 Å, b = 6.254 Å, c = 6.387 Å
α = 80.57°, β = 80.57°, γ = 33.60°
Atoms (fractional coordinates):
1 Sc 0.750 0.750 0.750
2 Ca 0.250 0.250 0.250
3 La 0.010 0.010 0.980
4 La 0.490 0.490 0.520

## Properties
Theoretical density ... 4.4 g/cm3
ΔE_f ... 102.4 meV/atom
Distance to the lowest polymorph of the same formula ... 33 meV per atom

=====

12.
DFT (PBE-GGA) results for a geometry-optimized CaLa2Sc structure.

a = 12.132 Å, b = 12.132 Å, c = 12.132 Å
α = 17.30°, β = 17.30°, γ = 17.30°
Atoms (fractional coordinates):
1 Sc 0.503 0.503 0.503
2 Ca 0.756 0.756 0.756
3 La 0.995 0.995 0.995
4 La 0.245 0.245 0.245

## Properties
Theoretical density ... 4.4 g/cm3
ΔE_f ... 112.1 meV/atom
Distance to the lowest polymorph of the same formula ... 43 meV per atom